Here is SrScRh2 at its PBEsol-relaxed geometry from Alexandria via LeMat-Bulk. Energies are from SCAN.

```
data_SrScRh2
_cell_length_a 3.270
_cell_length_b 3.270
_cell_length_c 7.086
_cell_angle_alpha 90.00
_cell_angle_beta 90.00
_cell_angle_gamma 90.00
_space_group_name_H-M_alt 'P 4/m m m'
_space_group_IT_number 123
_space_group_name_Hall '-P 4 2'
loop_
_atom_site_label
_atom_site_type_symbol
_atom_site_fract_x
_atom_site_fract_y
_atom_site_fract_z
_atom_site_occupancy
Sr1 Sr 0.000 0.000 0.000 1
Sc1 Sc 0.000 0.000 0.500 1
Rh1 Rh 0.500 0.500 0.294 1
```

Computed properties:
* energy relative to the lowest polymorph listed for this composition: 0.000 eV/atom
* total moment: 0.000 μB/atom
* energy of formation: -0.60 eV/atom

---

Here is CrCd2Au at its PBEsol-relaxed geometry from Alexandria via LeMat-Bulk. Energies are from SCAN.

```
data_CrCd2Au
_cell_length_a 3.066
_cell_length_b 3.066
_cell_length_c 7.597
_cell_angle_alpha 90.00
_cell_angle_beta 90.00
_cell_angle_gamma 90.00
_space_group_name_H-M_alt 'P 4/m m m'
_space_group_IT_number 123
_space_group_name_Hall '-P 4 2'
loop_
_atom_site_label
_atom_site_type_symbol
_atom_site_fract_x
_atom_site_fract_y
_atom_site_fract_z
_atom_site_occupancy
Cr1 Cr 0.000 0.000 0.000 1
Cd1 Cd 0.500 0.500 0.247 1
Au1 Au 0.000 0.000 0.500 1
```

Computed properties:
* energy relative to the lowest polymorph listed for this composition: 0.076 eV/atom
* total moment: 1.002 μB/atom
* energy of formation: -0.01 eV/atom

---

Here is Ca2CuCl at its PBEsol-relaxed geometry from Alexandria via LeMat-Bulk. Energies are from SCAN.

```
data_Ca2CuCl
_cell_length_a 4.087
_cell_length_b 4.108
_cell_length_c 5.805
_cell_angle_alpha 90.00
_cell_angle_beta 90.00
_cell_angle_gamma 90.00
_space_group_name_H-M_alt 'P m m m'
_space_group_IT_number 47
_space_group_name_Hall '-P 2 2'
loop_
_atom_site_label
_atom_site_type_symbol
_atom_site_fract_x
_atom_site_fract_y
_atom_site_fract_z
_atom_site_occupancy
Ca1 Ca 0.000 0.000 0.000 1
Ca2 Ca 0.500 0.500 0.500 1
Cu1 Cu 0.000 0.000 0.500 1
Cl1 Cl 0.500 0.500 0.000 1
```

Computed properties:
* energy relative to the lowest polymorph listed for this composition: 0.046 eV/atom
* total moment: 0.000 μB/atom
* ΔE_f (raw): -0.86 eV per atom

---

Here is InTe2O5F at its PBEsol-relaxed geometry from Alexandria via LeMat-Bulk. Energies are from SCAN.

```
data_InTe2O5F
_cell_length_a 6.942
_cell_length_b 11.248
_cell_length_c 13.116
_cell_angle_alpha 90.00
_cell_angle_beta 90.00
_cell_angle_gamma 90.00
_space_group_name_H-M_alt 'C 2 2 21'
_space_group_IT_number 20
_space_group_name_Hall 'C 2c 2'
loop_
_atom_site_label
_atom_site_type_symbol
_atom_site_fract_x
_atom_site_fract_y
_atom_site_fract_z
_atom_site_occupancy
In1 In 0.149 0.098 0.373 1
Te1 Te 0.090 0.227 0.611 1
Te2 Te 0.168 0.442 0.355 1
O1 O 0.014 0.219 0.473 1
O2 O 0.054 0.046 0.873 1
O3 O 0.136 0.403 0.587 1
O4 O 0.155 0.263 0.831 1
O5 O 0.179 0.475 0.213 1
F1 F 0.000 0.181 0.250 1
F2 F 0.228 0.500 0.000 1
```

Computed properties:
* total moment: 0.000 μB/atom
* ΔE_f (raw): -1.49 eV per atom

---

Here is MgScCu2As at its PBEsol-relaxed geometry from Alexandria via LeMat-Bulk. Energies are from SCAN.

```
data_MgScCu2As
_cell_length_a 4.354
_cell_length_b 4.354
_cell_length_c 5.236
_cell_angle_alpha 90.00
_cell_angle_beta 90.00
_cell_angle_gamma 90.00
_space_group_name_H-M_alt 'P 4/m m m'
_space_group_IT_number 123
_space_group_name_Hall '-P 4 2'
loop_
_atom_site_label
_atom_site_type_symbol
_atom_site_fract_x
_atom_site_fract_y
_atom_site_fract_z
_atom_site_occupancy
Mg1 Mg 0.000 0.000 0.000 1
Sc1 Sc 0.000 0.000 0.500 1
Cu1 Cu 0.000 0.500 0.000 1
As1 As 0.500 0.500 0.500 1
```

Computed properties:
* total moment: 0.000 μB/atom
* energy of formation: 0.73 eV/atom

---

Here is RbMgAs2Se at its PBEsol-relaxed geometry from Alexandria via LeMat-Bulk. Energies are from SCAN.

```
data_RbMgAs2Se
_cell_length_a 5.057
_cell_length_b 5.057
_cell_length_c 5.238
_cell_angle_alpha 90.00
_cell_angle_beta 90.00
_cell_angle_gamma 90.00
_space_group_name_H-M_alt 'P 4/m m m'
_space_group_IT_number 123
_space_group_name_Hall '-P 4 2'
loop_
_atom_site_label
_atom_site_type_symbol
_atom_site_fract_x
_atom_site_fract_y
_atom_site_fract_z
_atom_site_occupancy
Rb1 Rb 0.000 0.000 0.000 1
Mg1 Mg 0.500 0.500 0.500 1
As1 As 0.000 0.500 0.500 1
Se1 Se 0.500 0.500 0.000 1
```

Computed properties:
* total moment: 0.178 μB/atom
* ΔE_f (raw): -0.05 eV per atom

---

Here is Si4MoO10 at its PBEsol-relaxed geometry from Alexandria via LeMat-Bulk. Energies are from SCAN.

```
data_Si4MoO10
_cell_length_a 7.595
_cell_length_b 7.595
_cell_length_c 15.974
_cell_angle_alpha 90.00
_cell_angle_beta 90.00
_cell_angle_gamma 90.00
_space_group_name_H-M_alt 'P 4/n c c'
_space_group_IT_number 130
loop_
_space_group_symop_operation_xyz
'x,y,z'
'-x,-y,-z'
'-y+1/2,x,z'
'y+1/2,-x,-z'
'-x+1/2,-y+1/2,z'
'x+1/2,y+1/2,-z'
'y,-x+1/2,z'
'-y,x+1/2,-z'
'x+1/2,-y,-z+1/2'
'-x+1/2,y,z+1/2'
'-y,-x,-z+1/2'
'y,x,z+1/2'
'-x,y+1/2,-z+1/2'
'x,-y+1/2,z+1/2'
'y+1/2,x+1/2,-z+1/2'
'-y+1/2,-x+1/2,z+1/2'
loop_
_atom_site_label
_atom_site_type_symbol
_atom_site_fract_x
_atom_site_fract_y
_atom_site_fract_z
_atom_site_occupancy
Si1 Si 0.043 0.047 0.154 1
Mo1 Mo 0.250 0.250 0.421 1
O1 O 0.002 0.248 0.634 1
O2 O 0.002 0.502 0.250 1
O3 O 0.075 0.081 0.406 1
```

Computed properties:
* total moment: 0.004 μB/atom
* ΔE_f (raw): -2.65 eV per atom

---

Here is Li2RhAu at its PBEsol-relaxed geometry from Alexandria via LeMat-Bulk. Energies are from SCAN.

```
data_Li2RhAu
_cell_length_a 3.029
_cell_length_b 4.437
_cell_length_c 8.248
_cell_angle_alpha 90.00
_cell_angle_beta 90.00
_cell_angle_gamma 90.00
_space_group_name_H-M_alt 'I m m m'
_space_group_IT_number 71
_space_group_name_Hall '-I 2 2'
loop_
_atom_site_label
_atom_site_type_symbol
_atom_site_fract_x
_atom_site_fract_y
_atom_site_fract_z
_atom_site_occupancy
Li1 Li 0.000 0.000 0.247 1
Rh1 Rh 0.000 0.500 0.500 1
Au1 Au 0.000 0.500 0.000 1
```

Computed properties:
* total moment: 0.000 μB/atom
* energy of formation: -0.35 eV/atom

---

Here is MgZn2CuNi at its PBEsol-relaxed geometry from Alexandria via LeMat-Bulk. Energies are from SCAN.

```
data_MgZn2CuNi
_cell_length_a 4.397
_cell_length_b 4.397
_cell_length_c 4.424
_cell_angle_alpha 90.00
_cell_angle_beta 90.00
_cell_angle_gamma 90.00
_space_group_name_H-M_alt 'P 4/m m m'
_space_group_IT_number 123
_space_group_name_Hall '-P 4 2'
loop_
_atom_site_label
_atom_site_type_symbol
_atom_site_fract_x
_atom_site_fract_y
_atom_site_fract_z
_atom_site_occupancy
Mg1 Mg 0.000 0.000 0.000 1
Zn1 Zn 0.000 0.500 0.500 1
Cu1 Cu 0.500 0.500 0.500 1
Ni1 Ni 0.500 0.500 0.000 1
```

Computed properties:
* total moment: 0.000 μB/atom
* energy of formation: 0.43 eV/atom

---

Here is Zn2CrCo at its PBEsol-relaxed geometry from Alexandria via LeMat-Bulk. Energies are from SCAN.

```
data_Zn2CrCo
_cell_length_a 2.479
_cell_length_b 2.479
_cell_length_c 7.744
_cell_angle_alpha 90.00
_cell_angle_beta 90.00
_cell_angle_gamma 90.00
_space_group_name_H-M_alt 'P 4/m m m'
_space_group_IT_number 123
_space_group_name_Hall '-P 4 2'
loop_
_atom_site_label
_atom_site_type_symbol
_atom_site_fract_x
_atom_site_fract_y
_atom_site_fract_z
_atom_site_occupancy
Zn1 Zn 0.000 0.000 0.242 1
Cr1 Cr 0.500 0.500 0.500 1
Co1 Co 0.500 0.500 0.000 1
```

Computed properties:
* energy relative to the lowest polymorph listed for this composition: 0.026 eV/atom
* total moment: 0.571 μB/atom
* energy of formation: 0.13 eV/atom

---

Here is BeCdRe2 at its PBEsol-relaxed geometry from Alexandria via LeMat-Bulk. Energies are from SCAN.

```
data_BeCdRe2
_cell_length_a 6.083
_cell_length_b 6.083
_cell_length_c 6.083
_cell_angle_alpha 90.00
_cell_angle_beta 90.00
_cell_angle_gamma 90.00
_space_group_name_H-M_alt 'F m -3 m'
_space_group_IT_number 225
_space_group_name_Hall '-F 4 2 3'
loop_
_atom_site_label
_atom_site_type_symbol
_atom_site_fract_x
_atom_site_fract_y
_atom_site_fract_z
_atom_site_occupancy
Be1 Be 0.000 0.000 0.000 1
Cd1 Cd 0.000 0.000 0.500 1
Re1 Re 0.250 0.250 0.250 1
```

Computed properties:
* energy relative to the lowest polymorph listed for this composition: 0.625 eV/atom
* total moment: 0.000 μB/atom
* energy of formation: 0.98 eV/atom

---

Here is YI2O2 at its PBEsol-relaxed geometry from Alexandria via LeMat-Bulk. Energies are from SCAN.

```
data_YI2O2
_cell_length_a 4.809
_cell_length_b 4.809
_cell_length_c 4.186
_cell_angle_alpha 90.00
_cell_angle_beta 90.00
_cell_angle_gamma 90.00
_space_group_name_H-M_alt 'P 4/m m m'
_space_group_IT_number 123
_space_group_name_Hall '-P 4 2'
loop_
_atom_site_label
_atom_site_type_symbol
_atom_site_fract_x
_atom_site_fract_y
_atom_site_fract_z
_atom_site_occupancy
Y1 Y 0.000 0.000 0.000 1
I1 I 0.000 0.500 0.500 1
O1 O 0.500 0.500 0.000 1
O2 O 0.500 0.500 0.500 1
```

Computed properties:
* energy relative to the lowest polymorph listed for this composition: 0.105 eV/atom
* total moment: 0.024 μB/atom
* ΔE_f (raw): -0.07 eV per atom